[1]
The following is a GGA-PBE calculation of a geometry-optimized Mg2AgAs structure, from Alexandria via LeMat-Bulk.

## Properties
- size of the total moment (μB per formula unit) = 0.0
- energy relative to the elements (meV per atom) = -203.2

Unit cell a=5.550 b=5.550 c=5.550 alpha=137.44 beta=137.44 gamma=61.77
Positions (direct):
Mg1 0.000 0.000 0.000
Mg2 0.750 0.250 0.500
Ag1 0.500 0.500 0.000
As1 0.250 0.750 0.500



[2]
The following is a GGA-PBE calculation of a geometry-optimized OsPbIO2 structure, from Alexandria via LeMat-Bulk.

## Properties
- raw formation energy (meV per atom) = 957.8
- ΔE to the lowest computed polymorph (meV per atom) = 879
- size of the total moment (μB per formula unit) = 2.9

Unit cell a=4.132 b=4.132 c=6.019 alpha=90.00 beta=90.00 gamma=90.00
Positions (direct):
Os1 0.000 0.000 0.000
Pb1 0.500 0.500 0.500
I1 0.500 0.500 0.000
O1 0.000 0.500 0.500
O2 0.500 0.000 0.500



[3]
The following is a GGA-PBE calculation of a geometry-optimized Sc3Ag structure, from Alexandria via LeMat-Bulk.

## Properties
- ΔE to the lowest computed polymorph (meV per atom) = 70
- size of the total moment (μB per formula unit) = 0.0
- energy relative to the elements (meV per atom) = -61.2

Unit cell a=6.345 b=6.345 c=5.024 alpha=90.00 beta=90.00 gamma=120.00
Positions (direct):
Sc1 0.172 0.343 0.250
Sc2 0.172 0.828 0.250
Sc3 0.343 0.172 0.750
Sc4 0.657 0.828 0.250
Sc5 0.828 0.172 0.750
Sc6 0.828 0.657 0.750
Ag1 0.333 0.667 0.750
Ag2 0.667 0.333 0.250



[4]
The following is a GGA-PBE calculation of a geometry-optimized CaMg2Pb3 structure, from Alexandria via LeMat-Bulk.

## Properties
- ΔE to the lowest computed polymorph (meV per atom) = 0
- size of the total moment (μB per formula unit) = 0.0
- energy relative to the elements (meV per atom) = -222.7

Unit cell a=7.947 b=7.947 c=4.338 alpha=90.00 beta=90.00 gamma=142.99
Positions (direct):
Ca1 0.000 0.000 0.000
Mg1 0.329 0.671 0.000
Mg2 0.671 0.329 0.000
Pb1 0.172 0.828 0.500
Pb2 0.500 0.500 0.500
Pb3 0.828 0.172 0.500



[5]
The following is a GGA-PBE calculation of a geometry-optimized CdReBr2 structure, from Alexandria via LeMat-Bulk.

## Properties
- raw formation energy (meV per atom) = 1150.4
- ΔE to the lowest computed polymorph (meV per atom) = 895
- size of the total moment (μB per formula unit) = 0.0

Unit cell a=5.040 b=5.040 c=3.155 alpha=90.00 beta=90.00 gamma=90.00
Positions (direct):
Cd1 0.000 0.000 0.000
Re1 0.500 0.500 0.000
Br1 0.000 0.500 0.500
Br2 0.500 0.000 0.500



[6]
The following is a GGA-PBE calculation of a geometry-optimized TbPr4Sm4 structure, from Alexandria via LeMat-Bulk.

## Properties
- size of the total moment (μB per formula unit) = 0.0
- energy relative to the elements (meV per atom) = 15.0

Unit cell a=5.185 b=8.177 c=8.181 alpha=107.58 beta=90.04 gamma=108.41
Positions (direct):
Tb1 0.000 0.000 0.000
Pr1 0.222 0.444 0.334
Pr2 0.335 0.670 0.000
Pr3 0.665 0.330 0.000
Pr4 0.778 0.556 0.666
Sm1 0.110 0.220 0.668
Sm2 0.445 0.890 0.666
Sm3 0.555 0.110 0.334
Sm4 0.890 0.780 0.332



[7]
The following is a GGA-PBE calculation of a geometry-optimized Hf2CdN structure, from Alexandria via LeMat-Bulk.

## Properties
- raw formation energy (meV per atom) = -608.8
- ΔE to the lowest computed polymorph (meV per atom) = 335
- size of the total moment (μB per formula unit) = 0.0

Unit cell a=8.470 b=8.470 c=5.489 alpha=90.00 beta=90.00 gamma=157.37
Positions (direct):
Hf1 0.067 0.933 0.500
Hf2 0.266 0.734 0.124
Hf3 0.734 0.266 0.624
Hf4 0.933 0.067 0.000
Cd1 0.410 0.590 0.472
Cd2 0.590 0.410 0.972
N1 0.188 0.812 0.438
N2 0.812 0.188 0.938



[8]
The following is a GGA-PBE calculation of a geometry-optimized Ba2VZnOs structure, from Alexandria via LeMat-Bulk.

## Properties
- size of the total moment (μB per formula unit) = 1.4
- energy relative to the elements (meV per atom) = 795.9

Unit cell a=6.228 b=6.228 c=4.427 alpha=90.00 beta=90.00 gamma=90.00
Positions (direct):
Ba1 0.000 0.500 0.000
Ba2 0.500 0.000 0.000
V1 0.000 0.000 0.000
Zn1 0.500 0.500 0.500
Os1 0.000 0.000 0.500



[9]
The following is a GGA-PBE calculation of a geometry-optimized NaSi2TcW structure, from Alexandria via LeMat-Bulk.

## Properties
- raw formation energy (meV per atom) = 1510.1
- size of the total moment (μB per formula unit) = 3.7

Unit cell a=4.571 b=4.571 c=4.967 alpha=90.00 beta=90.00 gamma=90.00
Positions (direct):
Na1 0.000 0.000 0.000
Si1 0.000 0.500 0.500
Si2 0.500 0.000 0.500
Tc1 0.000 0.000 0.500
W1 0.500 0.500 0.000



[10]
The following is a GGA-PBE calculation of a geometry-optimized RbTcPb3 structure, from Alexandria via LeMat-Bulk.

## Properties
- ΔE to the lowest computed polymorph (meV per atom) = 0
- size of the total moment (μB per formula unit) = 1.3
- energy relative to the elements (meV per atom) = 276.9

Unit cell a=5.456 b=5.456 c=5.456 alpha=90.00 beta=90.00 gamma=90.00
Positions (direct):
Rb1 0.000 0.000 0.000
Tc1 0.500 0.500 0.500
Pb1 0.000 0.500 0.500
Pb2 0.500 0.000 0.500
Pb3 0.500 0.500 0.000



[11]
The following is a GGA-PBE calculation of a geometry-optimized Ni2Ge2Ru structure, from Alexandria via LeMat-Bulk.

## Properties
- ΔE to the lowest computed polymorph (meV per atom) = 0
- size of the total moment (μB per formula unit) = 0.7
- energy relative to the elements (meV per atom) = -123.3

Unit cell a=6.763 b=6.763 c=2.879 alpha=90.00 beta=90.00 gamma=90.00
Positions (direct):
Ni1 0.138 0.362 0.000
Ni2 0.362 0.862 0.000
Ni3 0.638 0.138 0.000
Ni4 0.862 0.638 0.000
Ge1 0.157 0.657 0.500
Ge2 0.343 0.157 0.500
Ge3 0.657 0.843 0.500
Ge4 0.843 0.343 0.500
Ru1 0.000 0.000 0.500
Ru2 0.500 0.500 0.500



[12]
The following is a GGA-PBE calculation of a geometry-optimized RbZn3Se4O12 structure, from Alexandria via LeMat-Bulk.

## Properties
- raw formation energy (meV per atom) = -644.4
- size of the total moment (μB per formula unit) = 0.8

Unit cell a=7.147 b=7.147 c=7.147 alpha=106.51 beta=106.51 gamma=106.51
Positions (direct):
Rb1 0.000 0.000 0.000
Zn1 0.000 0.568 0.432
Zn2 0.432 0.000 0.568
Zn3 0.568 0.432 0.000
Se1 0.059 0.500 0.941
Se2 0.500 0.500 0.500
Se3 0.500 0.941 0.059
Se4 0.941 0.059 0.500
O1 0.050 0.618 0.758
O2 0.114 0.886 0.500
O3 0.242 0.382 0.950
O4 0.343 0.657 0.500
O5 0.382 0.950 0.242
O6 0.500 0.114 0.886
O7 0.500 0.343 0.657
O8 0.618 0.758 0.050
O9 0.657 0.500 0.343
O10 0.758 0.050 0.618
O11 0.886 0.500 0.114
O12 0.950 0.242 0.382



[13]
The following is a GGA-PBE calculation of a geometry-optimized TbPr2Nd6 structure, from Alexandria via LeMat-Bulk.

## Properties
- ΔE to the lowest computed polymorph (meV per atom) = 59
- size of the total moment (μB per formula unit) = 0.0
- energy relative to the elements (meV per atom) = 110.2

Unit cell a=9.878 b=9.878 c=6.825 alpha=100.02 beta=100.02 gamma=99.23
Positions (direct):
Tb1 0.109 0.891 0.750
Tb2 0.891 0.109 0.250
Pr1 0.336 0.377 0.634
Pr2 0.377 0.336 0.134
Pr3 0.623 0.664 0.866
Pr4 0.664 0.623 0.366
Nd1 0.037 0.236 0.820
Nd2 0.074 0.459 0.299
Nd3 0.236 0.037 0.320
Nd4 0.265 0.642 0.980
Nd5 0.358 0.735 0.520
Nd6 0.459 0.074 0.799
Nd7 0.541 0.926 0.201
Nd8 0.642 0.265 0.480
Nd9 0.735 0.358 0.020
Nd10 0.764 0.963 0.680
Nd11 0.926 0.541 0.701
Nd12 0.963 0.764 0.180



[14]
The following is a GGA-PBE calculation of a geometry-optimized BaTc2O7 structure, from Alexandria via LeMat-Bulk.

## Properties
- raw formation energy (meV per atom) = -1647.2
- size of the total moment (μB per formula unit) = 0.0

Unit cell a=6.027 b=6.027 c=3.856 alpha=90.00 beta=90.00 gamma=117.53
Positions (direct):
Ba1 0.000 0.000 0.000
Tc1 0.310 0.690 0.500
Tc2 0.690 0.310 0.500
O1 0.036 0.334 0.500
O2 0.308 0.692 0.000
O3 0.334 0.036 0.500
O4 0.500 0.500 0.500
O5 0.666 0.964 0.500
O6 0.692 0.308 0.000
O7 0.964 0.666 0.500



[15]
The following is a GGA-PBE calculation of a geometry-optimized NdGa8Cu4 structure, from Alexandria via LeMat-Bulk.

## Properties
- size of the total moment (μB per formula unit) = 0.0
- energy relative to the elements (meV per atom) = -231.7

Unit cell a=6.826 b=6.826 c=6.826 alpha=98.75 beta=98.75 gamma=134.09
Positions (direct):
Nd1 0.000 0.000 0.000
Ga1 0.000 0.348 0.348
Ga2 0.000 0.652 0.652
Ga3 0.283 0.500 0.783
Ga4 0.348 0.000 0.348
Ga5 0.500 0.283 0.783
Ga6 0.500 0.717 0.217
Ga7 0.652 0.000 0.652
Ga8 0.717 0.500 0.217
Cu1 0.000 0.000 0.500
Cu2 0.000 0.500 0.000
Cu3 0.500 0.000 0.000
Cu4 0.500 0.500 0.500



[16]
The following is a GGA-PBE calculation of a geometry-optimized Pr2HfP3Rh12 structure, from Alexandria via LeMat-Bulk.

## Properties
- size of the total moment (μB per formula unit) = 0.0
- energy relative to the elements (meV per atom) = -303.1

Unit cell a=7.087 b=7.087 c=7.087 alpha=74.14 beta=74.14 gamma=74.14
Positions (direct):
Pr1 0.105 0.105 0.105
Pr2 0.895 0.895 0.895
Hf1 0.500 0.500 0.500
P1 0.000 0.500 0.500
P2 0.500 0.000 0.500
P3 0.500 0.500 0.000
Rh1 0.131 0.650 0.650
Rh2 0.176 0.176 0.590
Rh3 0.176 0.590 0.176
Rh4 0.350 0.350 0.869
Rh5 0.350 0.869 0.350
Rh6 0.410 0.824 0.824
Rh7 0.590 0.176 0.176
Rh8 0.650 0.131 0.650
Rh9 0.650 0.650 0.131
Rh10 0.824 0.410 0.824
Rh11 0.824 0.824 0.410
Rh12 0.869 0.350 0.350



[17]
The following is a GGA-PBE calculation of a geometry-optimized SrCa2Pr structure, from Alexandria via LeMat-Bulk.

## Properties
- ΔE to the lowest computed polymorph (meV per atom) = 0
- size of the total moment (μB per formula unit) = 0.0
- energy relative to the elements (meV per atom) = 62.6

Unit cell a=4.107 b=4.107 c=10.105 alpha=90.00 beta=90.00 gamma=90.00
Positions (direct):
Sr1 0.000 0.000 0.000
Ca1 0.500 0.500 0.272
Ca2 0.500 0.500 0.728
Pr1 0.000 0.000 0.500



[18]
The following is a GGA-PBE calculation of a geometry-optimized Mg4SeS3 structure, from Alexandria via LeMat-Bulk.

## Properties
- raw formation energy (meV per atom) = -1368.3
- size of the total moment (μB per formula unit) = 0.0

Unit cell a=5.302 b=5.302 c=5.302 alpha=90.00 beta=90.00 gamma=90.00
Positions (direct):
Mg1 0.000 0.000 0.000
Mg2 0.000 0.500 0.500
Mg3 0.500 0.000 0.500
Mg4 0.500 0.500 0.000
Se1 0.500 0.500 0.500
S1 0.000 0.000 0.500
S2 0.000 0.500 0.000
S3 0.500 0.000 0.000



[19]
The following is a GGA-PBE calculation of a geometry-optimized MgIn2P structure, from Alexandria via LeMat-Bulk.

## Properties
- ΔE to the lowest computed polymorph (meV per atom) = 125
- size of the total moment (μB per formula unit) = 0.0
- energy relative to the elements (meV per atom) = 10.0

Unit cell a=7.947 b=7.947 c=7.947 alpha=27.94 beta=27.94 gamma=27.94
Positions (direct):
Mg1 0.000 0.000 0.000
In1 0.236 0.236 0.236
In2 0.764 0.764 0.764
P1 0.500 0.500 0.500



[20]
The following is a GGA-PBE calculation of a geometry-optimized KTe2Au structure, from Alexandria via LeMat-Bulk.

## Properties
- raw formation energy (meV per atom) = -12.4
- size of the total moment (μB per formula unit) = 0.0

Unit cell a=3.132 b=3.132 c=12.037 alpha=90.00 beta=90.00 gamma=91.75
Positions (direct):
K1 0.000 0.000 0.000
Te1 0.000 0.000 0.570
Te2 0.500 0.500 0.231
Au1 0.500 0.500 0.788



[21]
The following is a GGA-PBE calculation of a geometry-optimized NpPClO4 structure, from Alexandria via LeMat-Bulk.

## Properties
- raw formation energy (meV per atom) = -2399.3
- size of the total moment (μB per formula unit) = 3.0

Unit cell a=5.986 b=5.986 c=6.534 alpha=101.61 beta=101.61 gamma=70.96
Positions (direct):
Np1 0.236 0.236 0.151
Np2 0.764 0.764 0.849
P1 0.364 0.364 0.736
P2 0.636 0.636 0.264
Cl1 0.020 0.020 0.765
Cl2 0.980 0.980 0.235
O1 0.137 0.487 0.850
O2 0.288 0.288 0.500
O3 0.476 0.476 0.231
O4 0.487 0.137 0.850
O5 0.513 0.863 0.150
O6 0.524 0.524 0.769
O7 0.712 0.712 0.500
O8 0.863 0.513 0.150



[22]
The following is a GGA-PBE calculation of a geometry-optimized Ac4Pr3Nd5 structure, from Alexandria via LeMat-Bulk.

## Properties
- size of the total moment (μB per formula unit) = 0.0
- energy relative to the elements (meV per atom) = 187.5

Unit cell a=9.088 b=9.088 c=9.948 alpha=116.33 beta=116.33 gamma=40.77
Positions (direct):
Ac1 0.082 0.082 0.430
Ac2 0.213 0.213 0.873
Ac3 0.787 0.787 0.127
Ac4 0.918 0.918 0.570
Pr1 0.212 0.212 0.231
Pr2 0.500 0.500 0.000
Pr3 0.788 0.788 0.769
Nd1 0.000 0.000 0.000
Nd2 0.331 0.331 0.614
Nd3 0.427 0.427 0.302
Nd4 0.573 0.573 0.698
Nd5 0.669 0.669 0.386



[23]
The following is a GGA-PBE calculation of a geometry-optimized Tm2Tl2TeO6 structure, from Alexandria via LeMat-Bulk.

## Properties
- raw formation energy (meV per atom) = -2004.7
- size of the total moment (μB per formula unit) = 0.0

Unit cell a=5.909 b=5.909 c=6.873 alpha=98.29 beta=98.29 gamma=119.84
Positions (direct):
Tm1 0.166 0.834 0.000
Tm2 0.834 0.166 0.000
Tl1 0.332 0.668 0.500
Tl2 0.668 0.332 0.500
Te1 0.500 0.500 0.000
O1 0.115 0.448 0.835
O2 0.230 0.230 0.165
O3 0.448 0.115 0.835
O4 0.552 0.885 0.165
O5 0.770 0.770 0.835
O6 0.885 0.552 0.165



[24]
The following is a GGA-PBE calculation of a geometry-optimized LaYTh2 structure, from Alexandria via LeMat-Bulk.

## Properties
- ΔE to the lowest computed polymorph (meV per atom) = 47
- size of the total moment (μB per formula unit) = 0.0
- energy relative to the elements (meV per atom) = 74.0

Unit cell a=5.063 b=5.063 c=5.166 alpha=90.00 beta=90.00 gamma=90.00
Positions (direct):
La1 0.000 0.000 0.000
Y1 0.500 0.500 0.000
Th1 0.000 0.500 0.500
Th2 0.500 0.000 0.500